Entry 1:
! PBE BaNdZr2O6, relaxed; values from VASP
&SYSTEM
  ibrav = 0, nat = 10, ntyp = 4
/
ATOMIC_SPECIES
Ba 137.33 Ba.upf
Nd 144.24 Nd.upf
Zr 91.22 Zr.upf
O 16.00 O.upf
ATOMIC_POSITIONS crystal
Ba 0.0000 0.0000 0.0000
Nd 0.5000 0.5000 0.0000
Zr 0.0000 0.5000 0.5000
Zr 0.5000 0.0000 0.5000
O 0.0000 0.5000 0.0000
O 0.1965 0.8035 0.5000
O 0.3196 0.3196 0.5000
O 0.5000 0.0000 0.0000
O 0.6804 0.6804 0.5000
O 0.8035 0.1965 0.5000
CELL_PARAMETERS angstrom
4.0972 -4.1920 0.0000
4.0972 4.1920 0.0000
0.0000 0.0000 4.2782
! energy above the lowest structure with this stoichiometry	0.0000	eV/atom
! space-group type	Cmmm
! raw formation energy	-3.083	eV per atom
! crystal system	orthorhombic
! spin magnetization	0.00	μB/cell
! calculated volume	147	Å³ per cell

---

Entry 2:
! PBE BaNdZr4O12, relaxed; values from VASP
&SYSTEM
  ibrav = 0, nat = 18, ntyp = 4
/
ATOMIC_SPECIES
Ba 137.33 Ba.upf
Nd 144.24 Nd.upf
Zr 91.22 Zr.upf
O 16.00 O.upf
ATOMIC_POSITIONS crystal
Ba 0.0000 0.0000 0.0000
Nd 0.5000 0.4321 0.4321
Zr 0.2537 0.4822 0.9531
Zr 0.2537 0.9531 0.4822
Zr 0.7463 0.4822 0.9531
Zr 0.7463 0.9531 0.4822
O 0.0000 0.4970 0.9509
O 0.0000 0.9509 0.4970
O 0.2485 0.1894 0.7502
O 0.2478 0.2481 0.2481
O 0.2485 0.7502 0.1894
O 0.3103 0.6638 0.6638
O 0.5000 0.0380 0.4580
O 0.5000 0.4580 0.0380
O 0.6897 0.6638 0.6638
O 0.7515 0.1894 0.7502
O 0.7522 0.2481 0.2481
O 0.7515 0.7502 0.1894
CELL_PARAMETERS angstrom
8.3240 0.0000 0.0000
0.0000 4.1753 4.1639
0.0000 -4.1753 4.1639
! space-group type	Amm2
! raw formation energy	-2.792	eV per atom
! crystal system	orthorhombic
! spin magnetization	3.05	μB/cell
! calculated volume	289	Å³ per cell

---

Entry 3:
! PBE BaNdZr2O6, relaxed; values from VASP
&SYSTEM
  ibrav = 0, nat = 10, ntyp = 4
/
ATOMIC_SPECIES
Ba 137.33 Ba.upf
Nd 144.24 Nd.upf
Zr 91.22 Zr.upf
O 16.00 O.upf
ATOMIC_POSITIONS crystal
Ba 0.0000 0.0000 0.0000
Nd 0.0000 0.0000 0.5000
Zr 0.5000 0.5000 0.2555
Zr 0.5000 0.5000 0.7445
O 0.0000 0.5000 0.2730
O 0.0000 0.5000 0.7270
O 0.5000 0.0000 0.2730
O 0.5000 0.0000 0.7270
O 0.5000 0.5000 0.0000
O 0.5000 0.5000 0.5000
CELL_PARAMETERS angstrom
4.2206 0.0000 0.0000
0.0000 4.2206 0.0000
0.0000 0.0000 8.3827
! energy above the lowest structure with this stoichiometry	0.0283	eV/atom
! space-group type	P4/mmm
! raw formation energy	-3.055	eV per atom
! crystal system	tetragonal
! spin magnetization	0.00	μB/cell
! calculated volume	149	Å³ per cell

---

Entry 4:
! PBE BaNd2Os, relaxed; values from VASP
&SYSTEM
  ibrav = 0, nat = 12, ntyp = 3
/
ATOMIC_SPECIES
Ba 137.33 Ba.upf
Nd 144.24 Nd.upf
Os 190.23 Os.upf
ATOMIC_POSITIONS crystal
Ba 0.0000 0.0000 0.0000
Ba 0.3333 0.6667 0.6667
Ba 0.6667 0.3333 0.3333
Nd 0.0000 0.0000 0.1208
Nd 0.0000 0.0000 0.8792
Nd 0.3333 0.6667 0.5459
Nd 0.3333 0.6667 0.7874
Nd 0.6667 0.3333 0.2126
Nd 0.6667 0.3333 0.4541
Os 0.0000 0.0000 0.5000
Os 0.3333 0.6667 0.1667
Os 0.6667 0.3333 0.8333
CELL_PARAMETERS angstrom
4.1445 0.0000 0.0000
-2.0723 3.5893 0.0000
0.0000 0.0000 32.9502
! space-group type	R-3m
! energy relative to the elements	0.198	eV per atom
! crystal system	trigonal
! spin magnetization	0.00	μB/cell
! calculated volume	490	Å³ per cell

---

Entry 5:
! PBE BaNd3Os, relaxed; values from VASP
&SYSTEM
  ibrav = 0, nat = 5, ntyp = 3
/
ATOMIC_SPECIES
Ba 137.33 Ba.upf
Nd 144.24 Nd.upf
Os 190.23 Os.upf
ATOMIC_POSITIONS crystal
Ba 0.0000 0.0000 0.0000
Nd 0.0000 0.5000 0.5000
Nd 0.5000 0.0000 0.5000
Nd 0.5000 0.5000 0.0000
Os 0.5000 0.5000 0.5000
CELL_PARAMETERS angstrom
5.7327 0.0000 0.0000
0.0000 5.7327 0.0000
0.0000 0.0000 5.7327
! space-group type	Pm-3m
! energy relative to the elements	0.042	eV per atom
! crystal system	cubic
! spin magnetization	0.00	μB/cell
! calculated volume	188	Å³ per cell

---

Entry 6:
! PBE BaNdP, relaxed; values from VASP
&SYSTEM
  ibrav = 0, nat = 12, ntyp = 3
/
ATOMIC_SPECIES
Ba 137.33 Ba.upf
Nd 144.24 Nd.upf
P 30.97 P.upf
ATOMIC_POSITIONS crystal
Ba 0.1265 0.0000 0.0000
Ba 0.1265 0.5000 0.5000
Ba 0.8735 0.0000 0.0000
Ba 0.8735 0.5000 0.5000
Nd 0.3878 0.0000 0.6712
Nd 0.3878 0.5000 0.1712
Nd 0.6122 0.0000 0.6712
Nd 0.6122 0.5000 0.1712
P 0.0000 0.0000 0.6667
P 0.0000 0.5000 0.1667
P 0.5000 0.0000 0.0046
P 0.5000 0.5000 0.5046
CELL_PARAMETERS angstrom
14.8664 0.0000 0.0000
0.0000 4.2532 0.0000
0.0000 0.0000 7.3688
! space-group type	Amm2
! energy relative to the elements	-0.606	eV per atom
! crystal system	orthorhombic
! spin magnetization	3.62	μB/cell
! calculated volume	466	Å³ per cell

---

Entry 7:
! PBE BaNdP2, relaxed; values from VASP
&SYSTEM
  ibrav = 0, nat = 12, ntyp = 3
/
ATOMIC_SPECIES
Ba 137.33 Ba.upf
Nd 144.24 Nd.upf
P 30.97 P.upf
ATOMIC_POSITIONS crystal
Ba 0.0000 0.0000 0.0000
Ba 0.3333 0.6667 0.6667
Ba 0.6667 0.3333 0.3333
Nd 0.0000 0.0000 0.5000
Nd 0.3333 0.6667 0.1667
Nd 0.6667 0.3333 0.8333
P 0.0000 0.0000 0.2383
P 0.0000 0.0000 0.7617
P 0.3333 0.6667 0.4284
P 0.3333 0.6667 0.9049
P 0.6667 0.3333 0.0951
P 0.6667 0.3333 0.5716
CELL_PARAMETERS angstrom
4.3386 0.0000 0.0000
-2.1693 3.7574 0.0000
0.0000 0.0000 22.1254
! space-group type	R-3m
! energy relative to the elements	-1.067	eV per atom
! crystal system	trigonal
! spin magnetization	0.00	μB/cell
! calculated volume	361	Å³ per cell

---

Entry 8:
! PBE Ba2NdP, relaxed; values from VASP
&SYSTEM
  ibrav = 0, nat = 12, ntyp = 3
/
ATOMIC_SPECIES
Ba 137.33 Ba.upf
Nd 144.24 Nd.upf
P 30.97 P.upf
ATOMIC_POSITIONS crystal
Ba 0.0000 0.0000 0.1140
Ba 0.0000 0.0000 0.8860
Ba 0.3333 0.6667 0.5527
Ba 0.3333 0.6667 0.7807
Ba 0.6667 0.3333 0.2193
Ba 0.6667 0.3333 0.4473
Nd 0.0000 0.0000 0.0000
Nd 0.3333 0.6667 0.6667
Nd 0.6667 0.3333 0.3333
P 0.0000 0.0000 0.5000
P 0.3333 0.6667 0.1667
P 0.6667 0.3333 0.8333
CELL_PARAMETERS angstrom
4.2812 0.0000 0.0000
-2.1406 3.7077 0.0000
0.0000 0.0000 34.9336
! space-group type	R-3m
! energy relative to the elements	-0.232	eV per atom
! crystal system	trigonal
! spin magnetization	0.00	μB/cell
! calculated volume	555	Å³ per cell

---

Entry 9:
! PBE Ba3Nd2PaP6, relaxed; values from VASP
&SYSTEM
  ibrav = 0, nat = 12, ntyp = 4
/
ATOMIC_SPECIES
Ba 137.33 Ba.upf
Nd 144.24 Nd.upf
Pa 231.04 Pa.upf
P 30.97 P.upf
ATOMIC_POSITIONS crystal
Ba 0.0000 0.0000 0.0000
Ba 0.3301 0.6699 0.0000
Ba 0.6699 0.3301 0.0000
Nd 0.1661 0.8339 0.5000
Nd 0.8339 0.1661 0.5000
Pa 0.5000 0.5000 0.5000
P 0.1147 0.4313 0.2932
P 0.2539 0.2539 0.7085
P 0.4313 0.1147 0.2932
P 0.5687 0.8853 0.7068
P 0.7461 0.7461 0.2915
P 0.8853 0.5687 0.7068
CELL_PARAMETERS angstrom
3.7297 -6.4616 0.0000
3.7297 6.4616 0.0000
-2.4938 0.0000 7.3158
! space-group type	C2/m
! energy relative to the elements	-1.184	eV per atom
! crystal system	monoclinic
! spin magnetization	0.00	μB/cell
! calculated volume	353	Å³ per cell

---

Entry 10:
! PBE BaNdP2S8, relaxed; values from VASP
&SYSTEM
  ibrav = 0, nat = 12, ntyp = 4
/
ATOMIC_SPECIES
Ba 137.33 Ba.upf
Nd 144.24 Nd.upf
P 30.97 P.upf
S 32.06 S.upf
ATOMIC_POSITIONS crystal
Ba 0.0000 0.0000 0.0000
Nd 0.0000 0.0000 0.5000
P 0.3333 0.6667 0.7594
P 0.6667 0.3333 0.2406
S 0.0016 0.3541 0.6975
S 0.3333 0.6667 0.9742
S 0.3525 0.9984 0.6975
S 0.3541 0.3525 0.3025
S 0.6459 0.6475 0.6975
S 0.6475 0.0016 0.3025
S 0.6667 0.3333 0.0258
S 0.9984 0.6459 0.3025
CELL_PARAMETERS angstrom
6.1045 0.0000 0.0000
-3.0522 5.2866 0.0000
0.0000 0.0000 9.4813
! space-group type	P-3
! raw formation energy	-0.842	eV per atom
! crystal system	trigonal
! spin magnetization	0.03	μB/cell
! calculated volume	306	Å³ per cell

---

Entry 11:
! PBE Ba2NdPaS6, relaxed; values from VASP
&SYSTEM
  ibrav = 0, nat = 20, ntyp = 4
/
ATOMIC_SPECIES
Ba 137.33 Ba.upf
Nd 144.24 Nd.upf
Pa 231.04 Pa.upf
S 32.06 S.upf
ATOMIC_POSITIONS crystal
Ba 0.2309 0.0654 0.2505
Ba 0.2309 0.4346 0.7505
Ba 0.7691 0.5654 0.2495
Ba 0.7691 0.9346 0.7495
Nd 0.5000 0.0000 0.0000
Nd 0.5000 0.5000 0.5000
Pa 0.0000 0.0000 0.5000
Pa 0.0000 0.5000 0.0000
S 0.1398 0.2114 0.9480
S 0.1398 0.2886 0.4480
S 0.2421 0.6946 0.9511
S 0.2421 0.8054 0.4511
S 0.3368 0.0272 0.7416
S 0.3368 0.4728 0.2416
S 0.6632 0.5272 0.7584
S 0.6632 0.9728 0.2584
S 0.7579 0.1946 0.5489
S 0.7579 0.3054 0.0489
S 0.8602 0.7114 0.5520
S 0.8602 0.7886 0.0520
CELL_PARAMETERS angstrom
7.2982 0.0000 0.0000
0.0000 7.6253 0.0000
-7.2870 0.0000 10.4979
! space-group type	P2_1/c
! raw formation energy	-1.972	eV per atom
! crystal system	monoclinic
! spin magnetization	0.00	μB/cell
! calculated volume	584	Å³ per cell

---

Entry 12:
! PBE Ba2NdPaSb4, relaxed; values from VASP
&SYSTEM
  ibrav = 0, nat = 8, ntyp = 4
/
ATOMIC_SPECIES
Ba 137.33 Ba.upf
Nd 144.24 Nd.upf
Pa 231.04 Pa.upf
Sb 121.76 Sb.upf
ATOMIC_POSITIONS crystal
Ba 0.0000 0.0000 0.0000
Ba 0.5000 0.5000 0.0000
Nd 0.0000 0.5000 0.5000
Pa 0.5000 0.0000 0.5000
Sb 0.2518 0.0000 0.7131
Sb 0.2758 0.5000 0.2924
Sb 0.7242 0.5000 0.7076
Sb 0.7482 0.0000 0.2869
CELL_PARAMETERS angstrom
8.0156 0.0000 0.0000
0.0000 4.6664 0.0000
-2.6855 0.0000 7.9343
! space-group type	P2/m
! raw formation energy	-0.932	eV per atom
! crystal system	monoclinic
! spin magnetization	0.09	μB/cell
! calculated volume	297	Å³ per cell

---

Which value of spin magnetization does entry 9 give?
0.00 μB/cell

---

Please write out number 5 again, unchanged.
! PBE BaNd3Os, relaxed; values from VASP
&SYSTEM
  ibrav = 0, nat = 5, ntyp = 3
/
ATOMIC_SPECIES
Ba 137.33 Ba.upf
Nd 144.24 Nd.upf
Os 190.23 Os.upf
ATOMIC_POSITIONS crystal
Ba 0.0000 0.0000 0.0000
Nd 0.0000 0.5000 0.5000
Nd 0.5000 0.0000 0.5000
Nd 0.5000 0.5000 0.0000
Os 0.5000 0.5000 0.5000
CELL_PARAMETERS angstrom
5.7327 0.0000 0.0000
0.0000 5.7327 0.0000
0.0000 0.0000 5.7327
! space-group type	Pm-3m
! energy relative to the elements	0.042	eV per atom
! crystal system	cubic
! spin magnetization	0.00	μB/cell
! calculated volume	188	Å³ per cell

---

The highest calculated volume belongs to which entry?
Ba2NdPaS6

---

Which of these has the highest spin magnetization?
BaNdP